(1)
Compound: MnBe2Zn
Source: Alexandria via LeMat-Bulk
Functional: PBE
Structure: relaxed

a = 4.0868 Å, b = 4.0868 Å, c = 4.5657 Å
α = 97.56°, β = 97.56°, γ = 33.96°
Fractional coordinates of all 4 atoms:
Mn 0.0000 0.0000 0.0000
Be 0.2517 0.2517 0.7937
Be 0.7483 0.7483 0.2063
Zn 0.5000 0.5000 0.5000

Results
- volume (Å³/cell) = 42.2
- E_tot (eV per cell) = -17.32



(2)
Compound: Tm8Ge5Pt
Source: Alexandria via LeMat-Bulk
Functional: PBE
Structure: relaxed

a = 7.5322 Å, b = 7.5322 Å, c = 7.5322 Å
α = 109.82°, β = 109.82°, γ = 108.77°
Fractional coordinates of all 14 atoms:
Tm 0.1207 0.3729 0.1151
Tm 0.1319 0.3790 0.6230
Tm 0.2578 0.0056 0.8849
Tm 0.4910 0.8681 0.2470
Tm 0.6210 0.2440 0.7530
Tm 0.6271 0.7422 0.7478
Tm 0.7560 0.5090 0.3770
Tm 0.9944 0.8793 0.2522
Ge 0.2500 0.7500 0.5000
Ge 0.3767 0.2507 0.3761
Ge 0.7493 0.1253 0.1260
Ge 0.8747 0.0007 0.6239
Ge 0.9993 0.6233 0.8740
Pt 0.5000 0.5000 0.0000

Results
- volume (Å³/cell) = 328.9
- E_tot (eV per cell) = -76.91



(3)
Compound: Ba2Cd3Ga4Sn
Source: Alexandria via LeMat-Bulk
Functional: PBE
Structure: relaxed

a = 4.7727 Å, b = 4.7727 Å, c = 11.6301 Å
α = 90.00°, β = 90.00°, γ = 90.00°
Fractional coordinates of all 10 atoms:
Ba 0.0000 0.5000 0.2469
Ba 0.5000 0.0000 0.7531
Cd 0.0000 0.5000 0.8733
Cd 0.5000 0.0000 0.1267
Cd 0.5000 0.5000 0.5000
Ga 0.0000 0.0000 0.0000
Ga 0.0000 0.5000 0.6387
Ga 0.5000 0.0000 0.3613
Ga 0.5000 0.5000 0.0000
Sn 0.0000 0.0000 0.5000

Results
- volume (Å³/cell) = 264.9
- E_tot (eV per cell) = -26.25



(4)
Compound: Sb2MoRu
Source: Alexandria via LeMat-Bulk
Functional: PBE
Structure: relaxed

a = 4.7592 Å, b = 4.7592 Å, c = 4.7592 Å
α = 60.00°, β = 60.00°, γ = 60.00°
Fractional coordinates of all 4 atoms:
Sb 0.0000 0.0000 0.0000
Sb 0.2500 0.2500 0.2500
Mo 0.7500 0.7500 0.7500
Ru 0.5000 0.5000 0.5000

Results
- volume (Å³/cell) = 76.2
- energy relative to the elements, uncorrected (eV per atom) = 0.65
- E_tot (eV per cell) = -25.75



(5)
Compound: LaGe2Pd6
Source: Alexandria via LeMat-Bulk
Functional: PBE
Structure: relaxed

a = 5.6181 Å, b = 5.6181 Å, c = 6.5832 Å
α = 90.00°, β = 90.00°, γ = 120.00°
Fractional coordinates of all 9 atoms:
La 0.0000 0.0000 0.0000
Ge 0.3333 0.6667 0.5000
Ge 0.6667 0.3333 0.5000
Pd 0.0000 0.5000 0.2111
Pd 0.0000 0.5000 0.7889
Pd 0.5000 0.0000 0.2111
Pd 0.5000 0.0000 0.7889
Pd 0.5000 0.5000 0.2111
Pd 0.5000 0.5000 0.7889

Results
- volume (Å³/cell) = 179.9
- E_tot (eV per cell) = -50.12



(6)
Compound: NaCuH3
Source: Alexandria via LeMat-Bulk
Functional: PBE
Structure: relaxed

a = 6.3512 Å, b = 6.3512 Å, c = 6.0083 Å
α = 103.51°, β = 103.51°, γ = 76.25°
Fractional coordinates of all 20 atoms:
Na 0.0782 0.3223 0.2390
Na 0.3223 0.0782 0.7390
Na 0.6777 0.9218 0.2610
Na 0.9218 0.6777 0.7610
Cu 0.2483 0.7517 0.2500
Cu 0.4293 0.5707 0.7500
Cu 0.5707 0.4293 0.2500
Cu 0.7517 0.2483 0.7500
H 0.0019 0.2592 0.8538
H 0.2011 0.5851 0.5773
H 0.2592 0.0019 0.3538
H 0.3146 0.4939 0.1239
H 0.4149 0.7989 0.9227
H 0.4939 0.3146 0.6239
H 0.5061 0.6854 0.3761
H 0.5851 0.2011 0.0773
H 0.6854 0.5061 0.8761
H 0.7408 0.9981 0.6462
H 0.7989 0.4149 0.4227
H 0.9981 0.7408 0.1462

Results
- volume (Å³/cell) = 224.8
- E_tot (eV per cell) = -61.85



(7)
Compound: Y4AlAg
Source: Alexandria via LeMat-Bulk
Functional: PBE
Structure: relaxed

a = 4.9870 Å, b = 4.9870 Å, c = 7.3117 Å
α = 90.00°, β = 90.00°, γ = 90.00°
Fractional coordinates of all 6 atoms:
Y 0.0000 0.5000 0.2500
Y 0.0000 0.5000 0.7500
Y 0.5000 0.0000 0.2500
Y 0.5000 0.0000 0.7500
Al 0.0000 0.0000 0.0000
Ag 0.5000 0.5000 0.5000

Results
- volume (Å³/cell) = 181.8
- E_tot (eV per cell) = -32.55



(8)
Compound: Ho4InRh2
Source: Alexandria via LeMat-Bulk
Functional: PBE
Structure: relaxed

a = 8.5479 Å, b = 8.5479 Å, c = 6.8548 Å
α = 107.49°, β = 107.49°, γ = 120.52°
Fractional coordinates of all 14 atoms:
Ho 0.0116 0.9884 0.5000
Ho 0.1077 0.6825 0.8116
Ho 0.3903 0.5486 0.1424
Ho 0.5334 0.9537 0.6940
Ho 0.5486 0.3903 0.6424
Ho 0.6825 0.1077 0.3116
Ho 0.9537 0.5334 0.1940
Ho 0.9884 0.0116 0.0000
In 0.2060 0.4405 0.5144
In 0.4405 0.2060 0.0144
Rh 0.2747 0.9458 0.2948
Rh 0.6139 0.7646 0.9759
Rh 0.7646 0.6139 0.4759
Rh 0.9458 0.2747 0.7948

Results
- volume (Å³/cell) = 343.3
- E_tot (eV per cell) = -80.24



(9)
Compound: LuMn2C
Source: Alexandria via LeMat-Bulk
Functional: PBE
Structure: relaxed

a = 6.8067 Å, b = 6.8067 Å, c = 6.8067 Å
α = 25.99°, β = 25.99°, γ = 25.99°
Fractional coordinates of all 4 atoms:
Lu 0.0000 0.0000 0.0000
Mn 0.2121 0.2121 0.2121
Mn 0.7879 0.7879 0.7879
C 0.5000 0.5000 0.5000

Results
- volume (Å³/cell) = 53.3
- E_tot (eV per cell) = -31.35



(10)
Compound: Tm2ThAgHg4
Source: Alexandria via LeMat-Bulk
Functional: PBE
Structure: relaxed

a = 9.6259 Å, b = 9.6259 Å, c = 9.6259 Å
α = 30.11°, β = 30.11°, γ = 30.11°
Fractional coordinates of all 8 atoms:
Tm 0.2391 0.2391 0.2391
Tm 0.7609 0.7609 0.7609
Th 0.0000 0.0000 0.0000
Ag 0.5000 0.5000 0.5000
Hg 0.1275 0.1275 0.1275
Hg 0.3837 0.3837 0.3837
Hg 0.6163 0.6163 0.6163
Hg 0.8725 0.8725 0.8725

Results
- volume (Å³/cell) = 198.9
- E_tot (eV per cell) = -22.76



Among the records above, which one has the highest volume?
Ho4InRh2